1.
VASP calculation (PBEsol) on an optimized crystal structure of TiTe2PbN.

a b c (Å): 5.600 5.600 3.753
angles (deg): 90.00 90.00 90.00
Space group P4/mmm (No. 123)
Inequivalent atoms, fractional coordinates:
Ti1 0.000 0.000 0.000 x1
Te1 0.000 0.500 0.000 x2
Pb1 0.500 0.500 0.500 x1
N1 0.000 0.000 0.500 x1

## Properties
size of the total moment: 0.000 μB/atom
electronic total energy: -5.8020 eV per atom
DOS(E_F): 3.2 states/eV per cell
formation energy from raw total energies: -0.222 eV/atom


2.
VASP calculation (PBEsol) on an optimized crystal structure of NiRuPt.

a b c (Å): 2.6646 2.6646 6.3707
angles (deg): 90.00 90.00 120.00
Space group P3m1 (No. 156)
Inequivalent atoms, fractional coordinates:
Ni1 0.0000 0.0000 0.0000 x1
Ru1 0.6667 0.3333 0.3085 x1
Pt1 0.3333 0.6667 0.6640 x1

## Properties
size of the total moment: 0.000 μB/atom
electronic total energy: -7.6928 eV per atom
polymorph energy (0 for the lowest one): 35 meV/atom
DOS(E_F): 4.4 states/eV per cell
formation energy from the elements: 0.072 eV per atom


3.
VASP calculation (PBEsol) on an optimized crystal structure of TcSbPbI2.

a b c (Å): 5.425 5.425 5.055
angles (deg): 90.00 90.00 90.00
Space group P4/mmm (No. 123)
Inequivalent atoms, fractional coordinates:
Tc1 0.000 0.000 0.000 x1
Sb1 0.000 0.000 0.500 x1
Pb1 0.500 0.500 0.500 x1
I1 0.000 0.500 0.000 x2

## Properties
size of the total moment: 0.214 μB/atom
electronic total energy: -4.2021 eV per atom
DOS(E_F): 6.7 states/eV per cell
formation energy from raw total energies: 0.469 eV/atom


4.
VASP calculation (PBEsol) on an optimized crystal structure of Mg2Ti3VS8.

a b c (Å): 7.1531 7.1531 17.8976
angles (deg): 90.00 90.00 120.00
Space group R-3m (No. 166, hexagonal axes)
Inequivalent atoms, fractional coordinates:
Mg1 0.0000 0.0000 0.1255 x6
Ti1 0.0000 0.5000 0.0000 x9
V1 0.0000 0.0000 0.5000 x3
S1 0.0000 0.0000 0.2587 x6
S2 0.0279 0.5139 0.2531 x18

## Properties
size of the total moment: 0.225 μB/atom
electronic total energy: -6.5002 eV per atom
DOS(E_F): 23.5 states/eV per cell
formation energy from raw total energies: -1.278 eV/atom


5.
VASP calculation (PBEsol) on an optimized crystal structure of PrInCu2.

a b c (Å): 6.699 6.699 6.699
angles (deg): 90.00 90.00 90.00
Space group Fm-3m (No. 225)
Inequivalent atoms, fractional coordinates:
Pr1 0.000 0.000 0.000 x4
In1 0.000 0.000 0.500 x4
Cu1 0.250 0.250 0.250 x8

## Properties
size of the total moment: 0.000 μB/atom
electronic total energy: -4.4933 eV per atom
DOS(E_F): 6.7 states/eV per cell
formation energy from the elements: -0.284 eV per atom


6.
VASP calculation (PBEsol) on an optimized crystal structure of TlIr.

a b c (Å): 3.087 5.207 4.525
angles (deg): 90.00 90.00 90.00
Space group Cmmm (No. 65)
Inequivalent atoms, fractional coordinates:
Tl1 0.000 0.000 0.000 x2
Ir1 0.000 0.500 0.500 x2

## Properties
size of the total moment: 0.000 μB/atom
electronic total energy: -5.5359 eV per atom
DOS(E_F): 3.0 states/eV per cell
formation energy from the elements: 0.691 eV per atom


7.
VASP calculation (PBEsol) on an optimized crystal structure of Be2AgHg.

a b c (Å): 2.8294 2.8294 24.8660
angles (deg): 90.00 90.00 120.00
Space group R3m (No. 160, hexagonal axes)
Inequivalent atoms, fractional coordinates:
Be1 0.0000 0.0000 0.0000 x3
Be2 0.0000 0.0000 0.2677 x3
Ag1 0.0000 0.0000 0.5247 x3
Hg1 0.0000 0.0000 0.7536 x3

## Properties
size of the total moment: 0.000 μB/atom
electronic total energy: -2.5727 eV per atom
DOS(E_F): 3.1 states/eV per cell
formation energy from the elements: 0.397 eV per atom


8.
VASP calculation (PBEsol) on an optimized crystal structure of ScCoGe2.

a b c (Å): 9.045 9.968 7.857
angles (deg): 90.00 90.00 90.00
Space group Pbam (No. 55)
Inequivalent atoms, fractional coordinates:
Sc1 0.165 0.178 0.000 x4
Sc2 0.174 0.453 0.239 x8
Co1 0.000 0.000 0.248 x4
Co2 0.090 0.747 0.253 x8
Ge1 0.040 0.624 0.000 x4
Ge2 0.042 0.624 0.500 x4
Ge3 0.126 0.897 0.000 x4
Ge4 0.127 0.904 0.500 x4
Ge5 0.158 0.181 0.343 x8

## Properties
size of the total moment: 0.000 μB/atom
electronic total energy: -6.7264 eV per atom
DOS(E_F): 23.8 states/eV per cell
formation energy from the elements: -0.671 eV per atom


- Number 2 is which compound?
  NiRuPt


Copy entry 8 word for word.
VASP calculation (PBEsol) on an optimized crystal structure of ScCoGe2.

a b c (Å): 9.045 9.968 7.857
angles (deg): 90.00 90.00 90.00
Space group Pbam (No. 55)
Inequivalent atoms, fractional coordinates:
Sc1 0.165 0.178 0.000 x4
Sc2 0.174 0.453 0.239 x8
Co1 0.000 0.000 0.248 x4
Co2 0.090 0.747 0.253 x8
Ge1 0.040 0.624 0.000 x4
Ge2 0.042 0.624 0.500 x4
Ge3 0.126 0.897 0.000 x4
Ge4 0.127 0.904 0.500 x4
Ge5 0.158 0.181 0.343 x8

## Properties
size of the total moment: 0.000 μB/atom
electronic total energy: -6.7264 eV per atom
DOS(E_F): 23.8 states/eV per cell
formation energy from the elements: -0.671 eV per atom